No. 1
Material: TbLu2Ga
Method: DFT, PBE
State: relaxed

Structure (extended XYZ):
```
4
Lattice="3.426 0.000 0.000 1.713 2.967 0.000 1.713 0.989 11.144" Properties=species:S:1:pos:R:3 pbc="T T T"
Lu 1.713 0.989 7.732
Lu 5.138 2.967 3.412
Tb 0.000 0.000 0.000
Ga 3.426 1.978 5.572
```

Electronic total energy (eV/atom): -4.17
Space group: R-3m, No. 166
ΔE_f (eV per atom): 0.008
Crystal system: trigonal
DOS(E_F) (states/eV per cell): 6.20

No. 2
Material: Tb2LuGa
Method: DFT, PBE
State: relaxed

Structure (extended XYZ):
```
4
Lattice="-5.134 1.290 0.063 -3.684 -3.775 -0.452 -3.001 -1.283 4.168" Properties=species:S:1:pos:R:3 pbc="T T T"
Lu 0.000 0.000 0.000
Tb -2.955 -0.942 0.945
Tb -8.864 -2.826 2.835
Ga -5.909 -1.884 1.890
```

Electronic total energy (eV/atom): -4.31
Space group: Fm-3m, No. 225
ΔE_f (eV per atom): -0.108
Crystal system: cubic
DOS(E_F) (states/eV per cell): 6.29

No. 3
Material: TbLuGa
Method: DFT, PBE
State: relaxed

Structure (extended XYZ):
```
3
Lattice="3.441 0.000 0.000 0.000 3.441 0.000 -1.720 -1.720 6.452" Properties=species:S:1:pos:R:3 pbc="T T T"
Lu 0.000 0.000 4.022
Tb 0.000 0.000 0.242
Ga 1.720 1.720 2.189
```

Electronic total energy (eV/atom): -4.44
Space group: I4mm, No. 107
ΔE_f (eV per atom): -0.378
Crystal system: tetragonal
DOS(E_F) (states/eV per cell): 2.21

No. 4
Material: Tb2LuGa
Method: DFT, PBE
State: relaxed

Structure (extended XYZ):
```
4
Lattice="-0.737 -3.316 0.880 2.761 -1.108 -1.862 5.154 0.761 7.187" Properties=species:S:1:pos:R:3 pbc="T T T"
Lu 3.589 -1.831 3.103
Tb 4.059 0.600 5.661
Tb 1.094 0.162 1.526
Ga 1.012 -2.212 -0.491
```

Electronic total energy (eV/atom): -4.46
Space group: P4/mmm, No. 123
ΔE_f (eV per atom): -0.261
Crystal system: tetragonal
DOS(E_F) (states/eV per cell): 4.76

No. 5
Material: TbLuGa
Method: DFT, PBE
State: relaxed

Structure (extended XYZ):
```
3
Lattice="4.922 0.000 0.000 2.461 4.262 0.000 2.461 1.421 4.019" Properties=species:S:1:pos:R:3 pbc="T T T"
Lu 4.922 2.842 2.009
Tb 0.000 0.000 0.000
Ga 2.461 1.421 1.005
```

Electronic total energy (eV/atom): -4.31
Space group: F-43m, No. 216
ΔE_f (eV per atom): -0.248
Crystal system: cubic
DOS(E_F) (states/eV per cell): 4.48

No. 6
Material: Tb2LuGa
Method: DFT, PBE
State: relaxed

Structure (extended XYZ):
```
4
Lattice="3.467 0.000 0.000 1.733 3.002 0.000 1.733 1.001 11.590" Properties=species:S:1:pos:R:3 pbc="T T T"
Lu 3.467 2.001 5.795
Tb 1.733 1.001 8.586
Tb 5.200 3.002 3.004
Ga 0.000 0.000 0.000
```

Electronic total energy (eV/atom): -4.06
Space group: R-3m, No. 166
ΔE_f (eV per atom): 0.138
Crystal system: trigonal
DOS(E_F) (states/eV per cell): 4.20

No. 7
Material: TbLuGaTc
Method: DFT, PBE
State: relaxed

Structure (extended XYZ):
```
4
Lattice="4.909 0.000 0.000 2.454 4.251 0.000 2.454 1.417 4.008" Properties=species:S:1:pos:R:3 pbc="T T T"
Lu 4.909 2.834 2.004
Tb 0.000 0.000 0.000
Tc 2.454 1.417 1.002
Ga 7.363 4.251 3.006
```

Electronic total energy (eV/atom): -5.90
Space group: F-43m, No. 216
ΔE_f (eV per atom): -0.260
Crystal system: cubic
DOS(E_F) (states/eV per cell): 2.91

No. 8
Material: TbLuTlGa
Method: DFT, PBE
State: relaxed

Structure (extended XYZ):
```
4
Lattice="5.186 0.000 0.000 2.593 4.491 0.000 2.593 1.497 4.234" Properties=species:S:1:pos:R:3 pbc="T T T"
Tl 7.779 4.491 3.176
Lu 0.000 0.000 0.000
Tb 5.186 2.994 2.117
Ga 2.593 1.497 1.059
```

Electronic total energy (eV/atom): -4.04
Space group: F-43m, No. 216
ΔE_f (eV per atom): -0.402
Crystal system: cubic
DOS(E_F) (states/eV per cell): 1.71

No. 9
Material: Lu2GaTc
Method: DFT, PBE
State: relaxed

Structure (extended XYZ):
```
4
Lattice="4.843 0.000 0.000 2.422 4.195 0.000 2.422 1.398 3.955" Properties=species:S:1:pos:R:3 pbc="T T T"
Lu 2.422 1.398 0.989
Lu 7.265 4.195 2.966
Ga 4.843 2.796 1.977
Tc 0.000 0.000 0.000
```

Electronic total energy (eV/atom): -5.92
Space group: Fm-3m, No. 225
ΔE_f (eV per atom): -0.312
Crystal system: cubic
DOS(E_F) (states/eV per cell): 2.43

No. 10
Material: LuGa2Tc
Method: DFT, PBE
State: relaxed

Structure (extended XYZ):
```
4
Lattice="-1.876 -3.782 0.231 1.525 -2.961 2.605 -2.989 -0.606 4.492" Properties=species:S:1:pos:R:3 pbc="T T T"
Lu 0.000 0.000 0.000
Tc -1.670 -3.675 3.664
Ga -2.252 -5.657 5.184
Ga -1.088 -1.693 2.145
```

Electronic total energy (eV/atom): -5.50
Space group: R-3m, No. 166
ΔE_f (eV per atom): -0.264
Crystal system: trigonal
DOS(E_F) (states/eV per cell): 5.21

No. 11
Material: Lu2GaTc
Method: DFT, PBE
State: relaxed

Structure (extended XYZ):
```
4
Lattice="-0.244 -3.027 -1.422 2.035 -2.481 0.977 -6.048 -4.557 6.784" Properties=species:S:1:pos:R:3 pbc="T T T"
Lu -4.048 -3.738 4.697
Lu -0.209 -6.327 1.641
Tc -2.128 -5.033 3.169
Ga 0.000 0.000 0.000
```

Electronic total energy (eV/atom): -5.45
Space group: R-3m, No. 166
ΔE_f (eV per atom): 0.157
Crystal system: trigonal
DOS(E_F) (states/eV per cell): 4.31

No. 12
Material: Lu2GaTc
Method: DFT, PBE
State: relaxed

Structure (extended XYZ):
```
4
Lattice="-1.053 -1.165 3.095 -2.926 -1.185 -1.442 3.015 -5.965 -1.219" Properties=species:S:1:pos:R:3 pbc="T T T"
Lu 2.316 -4.581 -0.937
Lu 0.699 -1.383 -0.283
Tc -1.990 -1.175 0.827
Ga -0.482 -4.157 0.217
```

Electronic total energy (eV/atom): -5.96
Space group: P4/mmm, No. 123
ΔE_f (eV per atom): -0.356
Crystal system: tetragonal
DOS(E_F) (states/eV per cell): 4.68

No. 13
Material: LuGa2Tc
Method: DFT, PBE
State: relaxed

Structure (extended XYZ):
```
4
Lattice="-1.938 -2.291 -1.516 2.747 -1.599 -1.096 0.048 -3.456 5.160" Properties=species:S:1:pos:R:3 pbc="T T T"
Lu 0.428 -3.673 1.274
Tc 0.404 -1.945 -1.306
Ga 0.038 -2.744 4.097
Ga 0.010 -0.712 1.063
```

Electronic total energy (eV/atom): -5.53
Space group: P4/mmm, No. 123
ΔE_f (eV per atom): -0.295
Crystal system: tetragonal
DOS(E_F) (states/eV per cell): 2.88

No. 14
Material: LuGa2Tc
Method: DFT, PBE
State: relaxed

Structure (extended XYZ):
```
4
Lattice="4.591 0.000 0.000 2.296 3.976 0.000 2.296 1.325 3.749" Properties=species:S:1:pos:R:3 pbc="T T T"
Lu 0.000 0.000 0.000
Tc 4.591 2.651 1.874
Ga 2.296 1.325 0.937
Ga 6.887 3.976 2.812
```

Electronic total energy (eV/atom): -5.50
Space group: Fm-3m, No. 225
ΔE_f (eV per atom): -0.270
Crystal system: cubic
DOS(E_F) (states/eV per cell): 3.75

No. 15
Material: LuTiGaTc
Method: DFT, PBE
State: relaxed

Structure (extended XYZ):
```
4
Lattice="-2.487 1.842 -3.452 -4.427 -1.245 -0.588 -3.398 3.010 0.941" Properties=species:S:1:pos:R:3 pbc="T T T"
Lu -2.578 0.902 -0.775
Tc -5.156 1.803 -1.550
Ga 0.000 0.000 0.000
Ti -7.734 2.705 -2.325
```

Electronic total energy (eV/atom): -6.77
Space group: F-43m, No. 216
ΔE_f (eV per atom): -0.316
Crystal system: cubic
DOS(E_F) (states/eV per cell): 2.70

No. 16
Material: TmLuGaTc
Method: DFT, PBE
State: relaxed

Structure (extended XYZ):
```
4
Lattice="-0.169 -4.624 -1.493 4.100 -2.588 -0.367 0.890 -3.603 3.141" Properties=species:S:1:pos:R:3 pbc="T T T"
Lu 0.000 0.000 0.000
Tm 2.410 -5.408 0.640
Tc 3.615 -8.111 0.960
Ga 1.205 -2.704 0.320
```

Electronic total energy (eV/atom): -5.90
Space group: F-43m, No. 216
ΔE_f (eV per atom): -0.301
Crystal system: cubic
DOS(E_F) (states/eV per cell): 2.59

No. 17
Material: LuZrGaTc
Method: DFT, PBE
State: relaxed

Structure (extended XYZ):
```
4
Lattice="4.774 0.000 0.000 2.387 4.135 0.000 2.387 1.378 3.898" Properties=species:S:1:pos:R:3 pbc="T T T"
Ga 2.387 1.378 0.975
Lu 0.000 0.000 0.000
Tc 7.161 4.135 2.924
Zr 4.774 2.756 1.949
```

Electronic total energy (eV/atom): -6.98
Space group: F-43m, No. 216
ΔE_f (eV per atom): -0.364
Crystal system: cubic
DOS(E_F) (states/eV per cell): 2.32

No. 18
Material: Lu3Ga5Te12
Method: DFT, PBE
State: relaxed

Structure (extended XYZ):
```
80
Lattice="-8.140 -11.911 3.341 9.300 -3.314 -11.037 7.756 4.175 11.904" Properties=species:S:1:pos:R:3 pbc="T T T"
Lu -1.648 -9.654 -0.145
Lu 0.822 -12.386 -3.867
Lu 8.770 -4.343 0.415
Lu 2.036 -1.826 3.920
Lu -4.021 -9.793 4.519
Lu 4.699 -5.494 -2.669
Lu 4.217 -5.556 6.877
Lu 12.937 -1.257 -0.312
Lu 6.880 -9.224 0.288
Lu 0.146 -6.707 3.793
Lu 8.094 1.336 8.075
Lu 10.564 -1.396 4.353
Ga 4.409 -1.688 -0.745
Ga 4.650 -1.657 -5.519
Ga 0.000 0.000 0.000
Ga 0.242 -4.773 -0.019
Ga -0.192 -3.868 7.622
Ga 0.580 -7.613 -3.848
Ga 8.866 -2.409 -3.396
Ga 1.844 -5.694 11.542
Ga 2.616 -9.439 0.071
Ga 3.927 -1.749 8.801
Ga 4.989 -9.301 -4.593
Ga 4.458 -5.525 2.104
Ga -4.070 -5.956 1.670
Ga 3.878 2.088 5.952
Ga 6.300 -1.611 4.136
Ga 7.072 -5.356 -7.334
Ga 8.528 0.431 0.434
Ga 0.050 -8.641 7.604
Ga 8.674 -6.277 4.226
Ga 4.507 -9.362 4.953
Te -4.311 -8.781 1.438
Te 5.563 -3.942 0.015
Te -2.158 -11.476 2.505
Te -1.391 -6.604 0.966
Te 7.119 -6.530 2.103
Te -0.975 -12.657 -1.210
Te 7.867 -4.739 -2.649
Te 8.775 -3.554 -8.251
Te 9.370 -7.382 -0.589
Te 0.988 -9.729 -1.991
Te 0.767 -9.325 1.957
Te 2.066 -12.674 -6.822
Te 9.787 -1.655 -1.035
Te 1.468 -5.419 -2.270
Te 10.645 -2.494 -5.350
Te 2.402 -2.899 6.973
Te 2.600 -0.707 0.914
Te 3.228 -7.346 -4.853
Te 3.996 -11.663 -3.943
Te 3.491 -2.538 -3.074
Te 11.998 -4.322 -0.016
Te 4.265 -7.376 -0.047
Te 4.444 -11.326 0.367
Te 3.720 -6.607 9.919
Te 4.650 -3.673 4.255
Te 4.472 0.276 3.841
Te 5.196 -4.442 -5.711
Te 4.919 0.613 8.151
Te -3.082 -6.728 4.224
Te 5.424 -8.512 7.282
Te 5.688 -3.704 9.061
Te 6.513 -8.151 -2.765
Te 6.316 -10.343 3.294
Te -1.729 -8.556 9.558
Te -0.871 -9.395 5.243
Te 6.850 1.624 11.029
Te 7.448 -5.631 6.478
Te -0.454 -3.668 4.797
Te 7.928 -1.321 6.199
Te 8.149 -1.725 2.251
Te 0.140 -7.496 12.459
Te 1.049 -6.310 6.857
Te 10.307 -4.446 3.241
Te 9.890 1.607 5.418
Te 1.797 -4.519 2.105
Te 11.074 0.426 1.703
Te 3.353 -7.108 4.193
Te 13.227 -2.269 2.770
```

Electronic total energy (eV/atom): -3.89
Space group: Ia-3d, No. 230
Crystal system: cubic
Uncorrected formation energy (eV/atom): -0.570
DOS(E_F) (states/eV per cell): 18.63

No. 19
Material: LuTi2Ga
Method: DFT, PBE
State: relaxed

Structure (extended XYZ):
```
4
Lattice="-2.046 0.836 3.599 -2.330 -3.468 -0.519 2.853 -2.237 2.141" Properties=species:S:1:pos:R:3 pbc="T T T"
Lu -1.023 0.418 1.799
Ga -0.762 -2.435 2.610
Ti 1.426 -1.119 1.070
Ti -1.165 -1.734 -0.260
```

Electronic total energy (eV/atom): -5.99
Space group: P4/mmm, No. 123
ΔE_f (eV per atom): -0.158
Crystal system: tetragonal
DOS(E_F) (states/eV per cell): 4.58

No. 20
Material: Lu2TiGa
Method: DFT, PBE
State: relaxed

Structure (extended XYZ):
```
4
Lattice="3.269 0.000 0.000 1.634 2.831 0.000 1.634 0.944 10.452" Properties=species:S:1:pos:R:3 pbc="T T T"
Lu 1.634 0.944 7.510
Lu 4.903 2.831 2.942
Ga 3.269 1.887 5.226
Ti 0.000 0.000 0.000
```

Electronic total energy (eV/atom): -4.79
Space group: R-3m, No. 166
ΔE_f (eV per atom): 0.199
Crystal system: trigonal
DOS(E_F) (states/eV per cell): 3.98